Record 1
CaAl2, relaxed, DFT GGA-PBE; E_form = -0.15 eV per atom
1.0
-0.3385 6.1082 1.0915
-0.2943 -3.0975 -5.3791
-4.5541 -0.3309 0.4397
Ca Al
2 4
direct
0.2362 0.2362 0.7500
0.7638 0.7638 0.2500
0.8573 0.4617 0.7500
0.4617 0.8573 0.7500
0.1427 0.5383 0.2500
0.5383 0.1427 0.2500


Record 2
TlCo2Br, relaxed, DFT GGA-PBE; energy above the lowest structure with this stoichiometry = 312 meV per atom; formation energy (no corrections) = 656.2 meV per atom
1.0
4.6061 0.0000 0.0000
0.0000 4.6061 0.0000
2.3031 2.3031 7.7732
Br Co Tl
2 4 2
direct
0.5000 0.5000 0.0000
0.2500 0.7500 0.5000
0.4910 0.1250 0.2500
0.3750 0.5090 0.7500
0.8750 0.7410 0.7500
0.2590 0.6250 0.2500
0.0000 0.0000 0.0000
0.7500 0.2500 0.5000


Record 3
KScSi2, relaxed, DFT GGA-PBE; energy above the lowest structure with this stoichiometry = 264 meV per atom; formation energy (no corrections) = 14.5 meV per atom
1.0
8.7146 0.0153 0.0091
7.8608 3.7620 0.0091
7.8608 1.7913 3.3081
Si Sc K
2 1 1
direct
0.9838 0.9838 0.9838
0.2848 0.2848 0.2848
0.7136 0.7136 0.7136
0.5178 0.5178 0.5178


Record 4
GaTc3Os, relaxed, DFT GGA-PBE; energy above the lowest structure with this stoichiometry = 0 meV per atom; E_form = 1.66 eV per atom
1.0
-2.2633 1.6950 3.7740
-4.0167 0.1302 -2.4674
-0.9910 -4.3987 1.3812
Tc Ga Os
3 1 1
direct
0.5000 0.0000 0.0000
0.0000 0.5000 0.0000
0.0000 0.0000 0.5000
0.5000 0.5000 0.5000
0.0000 0.0000 0.0000


Record 5
Tm4Si2Te, relaxed, DFT GGA-PBE; formation energy (no corrections) = -631.5 meV per atom
1.0
8.5253 0.3043 -0.1492
-0.3111 8.5251 0.1488
-3.9967 -4.5172 6.0396
Tm Si Te
8 4 2
direct
0.8146 0.6049 0.2094
0.3955 0.6052 0.7906
0.3950 0.1853 0.7905
0.4354 0.1451 0.2906
0.3948 0.6045 0.2095
0.8552 0.1455 0.2905
0.8549 0.5647 0.7095
0.8545 0.1448 0.7094
0.6250 0.8750 0.2500
0.1250 0.3750 0.7500
0.6250 0.3750 0.7500
0.6250 0.3750 0.2500
0.0001 0.0001 0.0000
0.2499 0.7499 0.5000


Record 6
Er6InSe5, relaxed, DFT GGA-PBE; formation energy (no corrections) = -1473.6 meV per atom
1.0
-6.7101 2.2009 0.6691
-4.2190 -4.0604 -4.0522
-2.9078 -5.8939 2.6766
Se Er In
5 6 1
direct
0.5000 0.5000 0.0000
0.5000 0.1663 0.6674
0.0000 0.3332 0.3336
0.5000 0.8337 0.3326
0.0000 0.6668 0.6664
0.7479 0.0834 0.3371
0.2506 0.2533 0.0000
0.2521 0.9166 0.6629
0.7494 0.7467 0.0000
0.2521 0.5795 0.3371
0.7479 0.4205 0.6629
0.0000 0.0000 0.0000


no.,DFT total energy (eV/atom),total moment (μB/f.u.)
1,-3.316,0.0
2,-3.907,2.5
3,-4.554,0.0
4,-7.415,2.9
5,-5.185,0.0
6,-5.435,0.0